First-principles (GGA-PBE) data for a relaxed Li2Ca2Mg5Zn crystal, as listed in Alexandria via LeMat-Bulk.

Lattice parameters (Å, degrees): 11.3085 11.3085 3.8230 90.00 90.00 90.00
Last column: nearest neighbours and their distance in Å.
Space group P4/mbm (No. 127)
Unique sites:
Li 0.1256 0.3744 0.0000 [4 per cell]  6 Mg 2.77-2.96
Ca 0.1784 0.6784 0.0000 [4 per cell]  3 Li 3.13-3.49, 2 Mg 3.43
Mg 0.0000 0.5000 0.5000 [2 per cell]  4 Li 2.77
Mg 0.0519 0.1885 0.5000 [8 per cell]  2 Zn 2.92, 2 Li 2.96, 2 Mg 3.13
Zn 0.0000 0.0000 0.0000 [2 per cell]  8 Mg 2.92

Summary:
DFT formation energy ... -33 meV per atom



First-principles (GGA-PBE) data for a relaxed Li2CaMgZn crystal, as listed in Alexandria via LeMat-Bulk.

Lattice parameters (Å, degrees): 4.9809 4.9809 5.0626 90.00 90.00 90.00
Last column: nearest neighbours and their distance in Å.
Space group P4/mmm (No. 123)
Unique sites:
Li 0.0000 0.5000 0.0000 [2 per cell]  2 Zn 2.49
Ca 0.0000 0.0000 0.5000 [1 per cell]  4 Mg 3.52, 8 Li 3.55
Mg 0.5000 0.5000 0.5000 [1 per cell]  2 Zn 2.53
Zn 0.5000 0.5000 0.0000 [1 per cell]  4 Li 2.49, 2 Mg 2.53

Summary:
DFT formation energy ... 38 meV per atom
Energy relative to the lowest polymorph listed for this composition ... 0.111 eV/atom



First-principles (GGA-PBE) data for a relaxed Li2Ca2MgZn5 crystal, as listed in Alexandria via LeMat-Bulk.

Lattice parameters (Å, degrees): 10.2119 10.2119 3.7581 90.00 90.00 90.00
Last column: nearest neighbours and their distance in Å.
Space group P4/mbm (No. 127)
Unique sites:
Li 0.1179 0.3821 0.0000 [4 per cell]  6 Zn 2.54-2.71
Ca 0.1809 0.6809 0.0000 [4 per cell]  3 Li 2.91-3.12, 6 Zn 3.22-3.25
Mg 0.0000 0.0000 0.0000 [2 per cell]  8 Zn 2.85
Zn 0.0000 0.5000 0.5000 [2 per cell]  4 Li 2.54
Zn 0.0515 0.2028 0.5000 [8 per cell]  2 Li 2.71, 2 Mg 2.85, 2 Zn 3.02

Summary:
DFT formation energy ... -150 meV per atom



First-principles (GGA-PBE) data for a relaxed LiCa2Mg5Zn2 crystal, as listed in Alexandria via LeMat-Bulk.

Lattice parameters (Å, degrees): 10.6165 10.6165 4.2714 90.00 90.00 90.00
Last column: nearest neighbours and their distance in Å.
Space group P4/mbm (No. 127)
Unique sites:
Li 0.0000 0.0000 0.0000 [2 per cell]  8 Mg 3.13
Ca 0.1772 0.3228 0.0000 [4 per cell]  3 Zn 3.08-3.19, 2 Mg 3.41
Mg 0.0000 0.5000 0.5000 [2 per cell]  4 Zn 2.77
Mg 0.0619 0.7941 0.5000 [8 per cell]  2 Zn 2.90, 2 Li 3.13, 3 Mg 3.19-3.23
Zn 0.1177 0.6177 0.0000 [4 per cell]  6 Mg 2.77-2.90, 1 Ca 3.08

Summary:
DFT formation energy ... -123 meV per atom



First-principles (GGA-PBE) data for a relaxed Li2CaMgZn crystal, as listed in Alexandria via LeMat-Bulk.

Lattice parameters (Å, degrees): 3.9795 4.6131 12.7543 90.00 90.00 90.00
Last column: nearest neighbours and their distance in Å.
Space group Imm2 (No. 44)
Unique sites:
Li 0.0000 0.0000 0.0000 [2 per cell]  2 Zn 2.84, 2 Li 2.91, 4 Mg 3.06
Li 0.0000 0.5000 0.3340 [2 per cell]  1 Zn 2.60, 2 Li 2.91
Ca 0.0000 0.5000 0.7174 [2 per cell]  4 Zn 3.24, 6 Li 3.39-3.41
Mg 0.0000 0.0000 0.4770 [2 per cell]  2 Zn 2.79, 6 Li 2.94-3.06
Zn 0.0000 0.5000 0.1303 [2 per cell]  3 Li 2.60-2.84, 2 Mg 2.79

Summary:
DFT formation energy ... -73 meV per atom
Energy relative to the lowest polymorph listed for this composition ... 0.000 eV/atom



First-principles (GGA-PBE) data for a relaxed LiCa2Mg12Zn3 crystal, as listed in Alexandria via LeMat-Bulk.

Lattice parameters (Å, degrees): 10.3426 10.3426 14.3539 90.00 90.00 120.00
Last column: nearest neighbours and their distance in Å.
Space group R-3m (No. 166, hexagonal axes)
Unique sites:
Li 0.0000 0.0000 0.0000 [3 per cell]  6 Mg 2.90
Ca 0.0000 0.0000 0.3731 [6 per cell]  9 Mg 3.10-3.43
Mg 0.0116 0.5058 0.6908 [18 per cell]  1 Zn 2.74, 1 Li 2.90, 3 Mg 2.93-2.96
Mg 0.0290 0.5145 0.8948 [18 per cell]  2 Mg 2.93-3.06, 2 Zn 3.00
Zn 0.0000 0.5000 0.5000 [9 per cell]  6 Mg 2.74-3.00

Summary:
DFT formation energy ... 122 meV per atom



First-principles (GGA-PBE) data for a relaxed LiCa2MgZn crystal, as listed in Alexandria via LeMat-Bulk.

Lattice parameters (Å, degrees): 5.6838 5.6838 5.0620 90.00 90.00 90.00
Last column: nearest neighbours and their distance in Å.
Space group P4/mmm (No. 123)
Unique sites:
Li 0.0000 0.0000 0.0000 [1 per cell]  8 Ca 3.81, 4 Mg 4.02
Ca 0.0000 0.5000 0.5000 [2 per cell]  2 Zn 2.84
Mg 0.5000 0.5000 0.0000 [1 per cell]  2 Zn 2.53
Zn 0.5000 0.5000 0.5000 [1 per cell]  2 Mg 2.53

Summary:
DFT formation energy ... 87 meV per atom



First-principles (GGA-PBE) data for a relaxed Li5Ca2MgZn2 crystal, as listed in Alexandria via LeMat-Bulk.

Lattice parameters (Å, degrees): 10.2973 10.2973 4.2717 90.00 90.00 90.00
Last column: nearest neighbours and their distance in Å.
Space group P4/mbm (No. 127)
Unique sites:
Li 0.0000 0.5000 0.0000 [2 per cell]  4 Zn 2.70
Li 0.0654 0.2133 0.0000 [8 per cell]  2 Zn 2.83, 1 Li 3.03, 2 Mg 3.14
Ca 0.1796 0.6796 0.5000 [4 per cell]  3 Zn 3.02-3.09, 2 Li 3.38
Mg 0.0000 0.0000 0.5000 [2 per cell]  8 Li 3.14
Zn 0.1132 0.3868 0.5000 [4 per cell]  6 Li 2.70-2.83, 1 Ca 3.02

Summary:
DFT formation energy ... -89 meV per atom



First-principles (GGA-PBE) data for a relaxed LiCaMn3 crystal, as listed in Alexandria via LeMat-Bulk.

Lattice parameters (Å, degrees): 5.1006 5.1006 5.1006 90.00 90.00 90.00
Last column: nearest neighbours and their distance in Å.
Space group Pm-3m (No. 221)
Unique sites:
Li 0.0000 0.0000 0.0000 [1 per cell]  12 Mn 3.61
Ca 0.5000 0.5000 0.5000 [1 per cell]  6 Mn 2.55
Mn 0.0000 0.5000 0.5000 [3 per cell]  2 Ca 2.55

Summary:
DFT formation energy ... 1622 meV per atom
Energy relative to the lowest polymorph listed for this composition ... 0.779 eV/atom



First-principles (GGA-PBE) data for a relaxed LiCaMn3 crystal, as listed in Alexandria via LeMat-Bulk.

Lattice parameters (Å, degrees): 4.6041 4.6041 4.6041 90.00 90.00 90.00
Last column: nearest neighbours and their distance in Å.
Space group Pm-3m (No. 221)
Unique sites:
Li 0.0000 0.0000 0.0000 [1 per cell]  6 Mn 2.30
Ca 0.5000 0.5000 0.5000 [1 per cell]  12 Mn 3.26
Mn 0.0000 0.0000 0.5000 [3 per cell]  2 Li 2.30

Summary:
DFT formation energy ... 844 meV per atom
Energy relative to the lowest polymorph listed for this composition ... 0.000 eV/atom



First-principles (GGA-PBE) data for a relaxed LiCaMnMo2 crystal, as listed in Alexandria via LeMat-Bulk.

Lattice parameters (Å, degrees): 4.4649 4.4649 4.2037 90.00 90.00 90.00
Last column: nearest neighbours and their distance in Å.
Space group P4/mmm (No. 123)
Unique sites:
Li 0.0000 0.0000 0.0000 [1 per cell]  2 Mn 2.10, 4 Mo 2.23
Ca 0.5000 0.5000 0.5000 [1 per cell]  8 Mo 3.07, 4 Mn 3.16
Mn 0.0000 0.0000 0.5000 [1 per cell]  2 Li 2.10
Mo 0.0000 0.5000 0.0000 [2 per cell]  2 Li 2.23

Summary:
DFT formation energy ... 1504 meV per atom



First-principles (GGA-PBE) data for a relaxed Li3CaMnN3 crystal, as listed in Alexandria via LeMat-Bulk.

Lattice parameters (Å, degrees): 5.7548 5.7548 18.5994 90.00 90.00 120.00
Last column: nearest neighbours and their distance in Å.
Space group R-3 (No. 148, hexagonal axes)
Unique sites:
Li 0.0245 0.3933 0.3710 [18 per cell]  4 N 2.01-2.21
Ca 0.0000 0.0000 0.1619 [6 per cell]  6 N 2.51-2.66
Mn 0.0000 0.0000 0.4348 [6 per cell]  3 N 1.77
N 0.0064 0.3026 0.5865 [18 per cell]  1 Mn 1.77



First-principles (GGA-PBE) data for a relaxed LiCa2Mn2N4 crystal, as listed in Alexandria via LeMat-Bulk.

Lattice parameters (Å, degrees): 12.3493 3.1426 5.8082 90.00 112.64 90.00
Last column: nearest neighbours and their distance in Å.
Space group C2/m (No. 12)
Unique sites:
Li 0.0000 0.0000 0.0000 [2 per cell]  4 N 2.21
Ca 0.1245 0.0000 0.5036 [4 per cell]  7 N 2.49-2.72, 1 Li 2.73
Mn 0.1777 0.5000 0.9759 [4 per cell]  2 N 1.72-1.89
N 0.0336 0.5000 0.7681 [4 per cell]  1 Mn 1.72
N 0.2227 0.0000 0.2016 [4 per cell]  3 Mn 1.89-1.98



First-principles (GGA-PBE) data for a relaxed Li2CaMnN crystal, as listed in Alexandria via LeMat-Bulk.

Lattice parameters (Å, degrees): 4.4851 4.4851 3.8627 90.00 90.00 90.00
Last column: nearest neighbours and their distance in Å.
Space group P4/mmm (No. 123)
Unique sites:
Li 0.0000 0.5000 0.0000 [2 per cell]  2 N 2.24
Ca 0.0000 0.0000 0.5000 [1 per cell]  8 Li 2.96, 4 Mn 3.17
Mn 0.5000 0.5000 0.5000 [1 per cell]  2 N 1.93
N 0.5000 0.5000 0.0000 [1 per cell]  2 Mn 1.93



First-principles (GGA-PBE) data for a relaxed LiCaMnNb2 crystal, as listed in Alexandria via LeMat-Bulk.

Lattice parameters (Å, degrees): 4.6599 4.6599 4.2089 90.00 90.00 90.00
Last column: nearest neighbours and their distance in Å.
Space group P4/mmm (No. 123)
Unique sites:
Li 0.0000 0.0000 0.0000 [1 per cell]  2 Mn 2.10, 4 Nb 2.33
Ca 0.5000 0.5000 0.5000 [1 per cell]  8 Nb 3.14, 4 Mn 3.30
Mn 0.0000 0.0000 0.5000 [1 per cell]  2 Li 2.10
Nb 0.0000 0.5000 0.0000 [2 per cell]  2 Li 2.33

Summary:
DFT formation energy ... 1292 meV per atom



Number 1: D(E_F) 0.61 states/eV/atom, total moment 0.000 μB/atom, total energy -1.741 eV per atom. Number 2: D(E_F) 0.65 states/eV/atom, total moment 0.000 μB/atom, total energy -1.701 eV per atom. Number 3: D(E_F) 0.42 states/eV/atom, total moment 0.000 μB/atom, total energy -1.730 eV per atom. Number 4: D(E_F) 0.53 states/eV/atom, total moment 0.000 μB/atom, total energy -1.767 eV per atom. Number 5: D(E_F) 0.56 states/eV/atom, total moment 0.000 μB/atom, total energy -1.812 eV per atom. Number 6: D(E_F) 0.67 states/eV/atom, total moment 0.000 μB/atom, total energy -1.482 eV per atom. Number 7: D(E_F) 0.91 states/eV/atom, total moment 0.000 μB/atom, total energy -1.670 eV per atom. Number 8: D(E_F) 0.49 states/eV/atom, total moment 0.000 μB/atom, total energy -1.860 eV per atom. Number 9: D(E_F) 0.64 states/eV/atom, total moment 2.373 μB/atom, total energy -4.663 eV per atom. Number 10: D(E_F) 1.53 states/eV/atom, total moment 2.244 μB/atom, total energy -5.441 eV per atom. Number 11: D(E_F) 1.81 states/eV/atom, total moment 0.000 μB/atom, total energy -5.445 eV per atom. Number 12: D(E_F) 0.02 states/eV/atom, total moment 0.251 μB/atom, total energy -5.894 eV per atom. Number 13: D(E_F) 0.36 states/eV/atom, total moment 0.000 μB/atom, total energy -7.000 eV per atom. Number 14: D(E_F) 0.71 states/eV/atom, total moment 0.706 μB/atom, total energy -4.709 eV per atom. Number 15: D(E_F) 1.56 states/eV/atom, total moment 0.000 μB/atom, total energy -5.353 eV per atom.